Entry from Alexandria: a relaxed Ho6SiSe2S3 crystal (PBE-GGA).

Calculated values
magnetic moment: 0.00 μB per formula unit
uncorrected energy: -6.091 eV/atom
space-group type: C2/m
density: 7.85 Mg/m³
energy relative to the elements, uncorrected: -1.74 eV per atom

Unit cell a=6.919 b=6.919 c=6.886 alpha=99.64 beta=99.64 gamma=119.99
Atoms (fractional coordinates):
Ho  0.086  0.406  0.760
Ho  0.233  0.233  0.241
Ho  0.406  0.086  0.760
Ho  0.594  0.914  0.240
Ho  0.767  0.767  0.759
Ho  0.914  0.594  0.240
Si  0.000  0.000  0.500
Se  0.333  0.667  0.500
Se  0.667  0.333  0.500
S  0.170  0.830  0.000
S  0.500  0.500  0.000
S  0.830  0.170  0.000